A relaxed Zr4InSn2 crystal. Source: Alexandria, functional PBE-GGA.

Output
* ΔE_f: -0.37 eV/atom
* N(E_F): 24.705 states/eV per cell

CIF file:
```
data_Zr4InSn2
_space_group_name_H-M_alt 'I -4 2 d'
_space_group_IT_number 122
_space_group_name_Hall 'I -4 2bw'
_cell_length_a 8.693
_cell_length_b 8.693
_cell_length_c 8.709
_cell_angle_alpha 90.00
_cell_angle_beta 90.00
_cell_angle_gamma 90.00
loop_
_atom_site_label
_atom_site_type_symbol
_atom_site_fract_x
_atom_site_fract_y
_atom_site_fract_z
Zr1 Zr 0.075 0.674 0.447
In1 In 0.000 0.000 0.500
Sn1 Sn 0.128 0.750 0.125
```